# UAsOs, relaxed, DFT PBE
# - Calculated formation energy: 0.0451 eV/atom
# - E: -9.011 eV per atom
# - Crystal system: tetragonal
data_UAsOs
_chemical_formula_sum 'U1 As1 Os1'
_symmetry_space_group_name_H-M 'P 1'
_symmetry_Int_Tables_number 1
_cell_length_a 3.6817
_cell_length_b 3.6817
_cell_length_c 5.1040
_cell_angle_alpha 111.14
_cell_angle_beta 111.14
_cell_angle_gamma 90.00
loop_
_symmetry_equiv_pos_as_xyz
'x,y,z'
loop_
_atom_site_label
_atom_site_fract_x
_atom_site_fract_y
_atom_site_fract_z
Os1 0.5845 0.5845 0.1690
As1 0.2952 0.2952 0.5903
U1 0.9703 0.9703 0.9406



# LiTc2Hg, relaxed, DFT PBE
# - Calculated formation energy: 0.3322 eV/atom
# - E: -5.405 eV per atom
# - Crystal system: tetragonal
data_LiTc2Hg
_chemical_formula_sum 'Li1 Tc2 Hg1'
_symmetry_space_group_name_H-M 'P 1'
_symmetry_Int_Tables_number 1
_cell_length_a 4.6289
_cell_length_b 3.6505
_cell_length_c 3.6505
_cell_angle_alpha 90.00
_cell_angle_beta 90.00
_cell_angle_gamma 90.00
loop_
_symmetry_equiv_pos_as_xyz
'x,y,z'
loop_
_atom_site_label
_atom_site_fract_x
_atom_site_fract_y
_atom_site_fract_z
Hg1 0.5000 0.5000 0.0000
Li1 0.5000 0.0000 0.5000
Tc1 0.0000 0.0000 0.0000
Tc2 0.0000 0.5000 0.5000



# Li7TlHg2, relaxed, DFT PBE
# - Calculated formation energy: -0.0462 eV/atom
# - E: -1.683 eV per atom
# - Crystal system: orthorhombic
data_Li7TlHg2
_chemical_formula_sum 'Li7 Tl1 Hg2'
_symmetry_space_group_name_H-M 'P 1'
_symmetry_Int_Tables_number 1
_cell_length_a 4.6238
_cell_length_b 7.8402
_cell_length_c 7.8402
_cell_angle_alpha 123.18
_cell_angle_beta 90.00
_cell_angle_gamma 90.00
loop_
_symmetry_equiv_pos_as_xyz
'x,y,z'
loop_
_atom_site_label
_atom_site_fract_x
_atom_site_fract_y
_atom_site_fract_z
Li1 0.0000 0.7896 0.2104
Li2 0.0000 0.2104 0.7896
Li3 0.5000 0.0664 0.2894
Li4 0.5000 0.9336 0.7106
Li5 0.5000 0.2894 0.0664
Li6 0.5000 0.7106 0.9336
Li7 0.5000 0.5000 0.5000
Tl1 0.0000 0.0000 0.0000
Hg1 0.5000 0.6985 0.3015
Hg2 0.5000 0.3015 0.6985